NaV4O8: optimized geometry, PBE with a Hubbard U.

Results
Energy in eV per atom: -7.453
SG: No. 8
Magnetic moment in Bohr magnetons per cell: 5.0

a b c (Å): 3.063 7.157 7.297
angles (deg): 85.19 77.88 77.64
Each line ends with the local moment (μB).
Fractional positions:
O: 0.846 0.608 0.701  -0.04
O: 0.161 0.362 0.316  -0.09
V: 0.848 0.799 0.505  1.09
V: 0.354 0.465 0.826  1.08
O: 0.852 0.338 0.958  -0.03
O: 0.795 0.037 0.372  -0.04
Na: 0.583 0.908 0.926  0.00
O: 0.208 0.933 0.651  -0.03
O: 0.541 0.275 0.643  -0.05
V: 0.660 0.497 0.183  1.84
O: 0.465 0.701 0.370  -0.05
V: 0.165 0.171 0.499  1.16
O: 0.167 0.637 0.029  -0.04